No. 1
Cs2AgHPd: optimized geometry, GGA-PBE.

a = 6.5969 Å, b = 6.5969 Å, c = 3.6164 Å
α = 90.00°, β = 90.00°, γ = 90.00°
Closest atoms and distances in Å follow each position.
Sites, in units of the cell vectors:
Cs (0.0000, 0.5000, 0.0000)  2 H 3.30, 2 Cs 3.62
Cs (0.5000, 0.0000, 0.0000)  2 H 3.30, 2 Cs 3.62
Ag (0.0000, 0.0000, 0.5000)  2 Ag 3.62, 8 Cs 3.76
H (0.5000, 0.5000, 0.0000)  2 Pd 1.81
Pd (0.5000, 0.5000, 0.5000)  2 H 1.81

## Properties
Its total energy is -2.619 eV/atom. The calculation puts the volume at 157.4 Å³/cell.

No. 2
Pm7Nd4Y: optimized geometry, GGA-PBE.

a = 6.8255 Å, b = 6.8255 Å, c = 12.9665 Å
α = 114.57°, β = 114.57°, γ = 53.07°
Closest atoms and distances in Å follow each position.
Sites, in units of the cell vectors:
Pm (0.0000, 0.0000, 0.0000)  2 Y 3.05, 2 Pm 3.15
Pm (0.2088, 0.2088, 0.9219)  2 Pm 3.15-3.35, 1 Y 3.21, 4 Nd 3.37-3.47
Pm (0.2470, 0.2470, 0.6821)  4 Pm 3.33-3.70, 1 Nd 3.71
Pm (0.3680, 0.3680, 0.4986)  2 Pm 3.21-3.33, 3 Nd 3.36-3.58
Pm (0.6320, 0.6320, 0.5014)  2 Pm 3.21-3.33, 3 Nd 3.36-3.58
Pm (0.7530, 0.7530, 0.3179)  4 Pm 3.33-3.70, 1 Nd 3.71
Pm (0.7912, 0.7912, 0.0781)  2 Pm 3.15-3.35, 1 Y 3.21, 4 Nd 3.37-3.47
Nd (0.0605, 0.0605, 0.3264)  5 Pm 3.36-3.71, 2 Nd 3.73
Nd (0.3631, 0.3631, 0.2221)  7 Pm 3.45-3.77, 2 Nd 3.73
Nd (0.6369, 0.6369, 0.7779)  7 Pm 3.45-3.77, 2 Nd 3.73
Nd (0.9395, 0.9395, 0.6736)  5 Pm 3.36-3.71, 2 Nd 3.73
Y (0.5000, 0.5000, 0.0000)  4 Pm 3.05-3.21

## Properties
The calculation puts the volume at 427.5 Å³/cell. The value obtained for the energy of formation from the pure elements is 0.244 eV/atom.